# Li34Sb8S7

A relaxed structure of Li34Sb8S7 (PBE, the Alexandria database).

The structure in POSCAR format:
```
Li34Sb8S7
1.0
9.696 0.000 0.000
0.000 9.696 0.000
-4.848 -4.848 9.583
Li Sb S
34 8 7
Direct
0.700 0.402 0.252
0.010 0.126 0.855
0.845 0.729 0.855
0.436 0.154 0.483
0.670 0.564 0.517
0.271 0.990 0.145
0.953 0.670 0.517
0.330 0.436 0.483
0.070 0.570 0.141
0.850 0.700 0.252
0.448 0.150 0.748
0.598 0.448 0.748
0.641 0.778 0.000
0.564 0.846 0.517
0.570 0.070 0.141
0.300 0.598 0.748
0.150 0.300 0.748
0.430 0.930 0.859
0.155 0.271 0.145
0.126 0.845 0.855
0.874 0.155 0.145
0.990 0.874 0.145
0.047 0.330 0.483
0.154 0.047 0.483
0.729 0.010 0.855
0.402 0.552 0.252
0.552 0.850 0.252
0.750 0.250 0.500
0.778 0.359 0.000
0.250 0.750 0.500
0.930 0.430 0.859
0.359 0.222 0.000
0.846 0.953 0.517
0.222 0.641 0.000
0.720 0.156 0.688
0.156 0.968 0.688
0.968 0.532 0.688
0.532 0.720 0.688
0.032 0.468 0.312
0.280 0.844 0.312
0.844 0.032 0.312
0.468 0.280 0.312
0.318 0.318 0.635
0.607 0.183 0.000
0.183 0.393 0.000
0.000 0.000 0.000
0.393 0.817 0.000
0.817 0.607 0.000
0.682 0.682 0.365
```

Values from the calculation:
* formation energy from raw total energies: -0.842 eV per atom
* space-group type: I4/m, No. 87
* spin magnetization: 0.000 μB/f.u.
* raw total energy: -0.2523 Ry per atom
* DOS(E_F): 12.81 states/eV/f.u.

# Li3SbS4

A relaxed structure of Li3SbS4 (PBE, the Alexandria database).

The structure in POSCAR format:
```
Li3SbS4
1.0
6.477 0.000 0.000
0.000 6.917 0.000
0.000 0.000 8.029
Sb S Li
2 8 6
Direct
0.495 0.172 0.500
0.995 0.828 0.000
0.616 0.333 0.741
0.616 0.333 0.259
0.129 0.181 0.500
0.618 0.850 0.500
0.116 0.667 0.759
0.629 0.819 0.000
0.116 0.667 0.241
0.118 0.150 0.000
0.997 0.327 0.247
0.997 0.327 0.753
0.497 0.673 0.747
0.497 0.673 0.253
0.003 0.846 0.500
0.503 0.154 0.000
```

Values from the calculation:
* formation energy from raw total energies: -0.850 eV per atom
* space-group type: Pmn2_1, No. 31
* spin magnetization: 0.000 μB/f.u.
* energy above the most stable polymorph in this dataset: 0.0 meV per atom
* raw total energy: -0.3048 Ry per atom
* DOS(E_F): 0.00 states/eV/f.u.